## ZnGaBiH2 (PBE-GGA)

Data for a relaxed ZnGaBiH2 crystal.

```
data_ZnGaBiH2
_chemical_formula_sum 'Zn1 Ga1 Bi1 H2'
_cell_length_a 3.9310
_cell_length_b 3.9310
_cell_length_c 5.3718
_cell_angle_alpha 90.00
_cell_angle_beta 90.00
_cell_angle_gamma 90.00
_space_group_name_H-M_alt 'P 4/m m m'
_space_group_IT_number 123
_space_group_name_Hall '-P 4 2'
loop_
_atom_site_label
_atom_site_type_symbol
_atom_site_fract_x
_atom_site_fract_y
_atom_site_fract_z
Zn1 Zn 0.0000 0.0000 0.0000
Ga1 Ga 0.0000 0.0000 0.5000
Bi1 Bi 0.5000 0.5000 0.5000
H1 H 0.0000 0.5000 0.0000
```

## Properties
DFT total energy in eV for the cell shown: -12.390
Theoretical density in kg/m3: 6924